[1]
# CaY3W

A crystal of CaY3W relaxed with PBEsol (meta-GGA SCAN, Alexandria via LeMat-Bulk).

Cell: 5.4462 5.4462 5.4462 Å, 90.00 90.00 90.00°
Closest atoms and distances in Å follow each position.
Space group Pm-3m (No. 221)
Unique sites:
Ca 0.0000 0.0000 0.0000 (multiplicity 1)  12 Y 3.85
Y 0.0000 0.5000 0.5000 (multiplicity 3)  2 W 2.72
W 0.5000 0.5000 0.5000 (multiplicity 1)  6 Y 2.72

Computed properties:
D(E_F) = 4.71 states/eV/f.u.
calculated volume = 162 Å³/cell
E_tot = -32.167 eV per atom
ΔH_f (0 K) = 409 meV/atom

[2]
# CaYW2

A crystal of CaYW2 relaxed with PBEsol (meta-GGA SCAN, Alexandria via LeMat-Bulk).

Cell: 10.3939 2.7747 5.5877 Å, 90.00 93.45 90.00°
Closest atoms and distances in Å follow each position.
Space group C2/m (No. 12)
Unique sites:
Ca 0.0000 0.0000 0.0000 (multiplicity 2)  2 Ca 2.77, 2 W 3.06
Y 0.0000 0.5000 0.5000 (multiplicity 2)  2 Y 2.77, 2 W 2.99
W 0.2485 0.0000 0.7331 (multiplicity 4)  4 W 2.77-2.95, 1 Y 2.99, 1 Ca 3.06

Computed properties:
ΔE to the lowest computed polymorph = 473 meV/atom
D(E_F) = 3.43 states/eV/f.u.
calculated volume = 161 Å³/cell
E_tot = -43.154 eV per atom
ΔH_f (0 K) = 1066 meV/atom

[3]
# Ca2ZnW

A crystal of Ca2ZnW relaxed with PBEsol (meta-GGA SCAN, Alexandria via LeMat-Bulk).

Cell: 2.9159 2.9159 9.7170 Å, 90.00 90.00 90.00°
Closest atoms and distances in Å follow each position.
Space group P4/mmm (No. 123)
Unique sites:
Ca 0.0000 0.0000 0.2488 (multiplicity 2)  4 Ca 2.92, 4 Zn 3.18, 4 W 3.20
Zn 0.5000 0.5000 0.0000 (multiplicity 1)  4 Zn 2.92, 8 Ca 3.18
W 0.5000 0.5000 0.5000 (multiplicity 1)  4 W 2.92, 8 Ca 3.20

Computed properties:
D(E_F) = 3.53 states/eV/f.u.
calculated volume = 83 Å³/cell
E_tot = -25.023 eV per atom
ΔH_f (0 K) = 610 meV/atom

[4]
# Ca2ZnW

A crystal of Ca2ZnW relaxed with PBEsol (meta-GGA SCAN, Alexandria via LeMat-Bulk).

Cell: 4.4572 4.4572 8.5583 Å, 90.00 90.00 90.00°
Closest atoms and distances in Å follow each position.
Space group I-4m2 (No. 119)
Unique sites:
Ca 0.0000 0.0000 0.0000 (multiplicity 2)  4 Ca 3.09, 4 Zn 3.09, 4 W 3.15
Ca 0.0000 0.5000 0.2500 (multiplicity 2)  4 Ca 3.09, 4 W 3.09, 4 Zn 3.15
Zn 0.0000 0.5000 0.7500 (multiplicity 2)  4 W 3.09, 8 Ca 3.09-3.15
W 0.0000 0.0000 0.5000 (multiplicity 2)  8 Ca 3.09-3.15, 4 Zn 3.09

Computed properties:
D(E_F) = 2.12 states/eV/f.u.
calculated volume = 170 Å³/cell
E_tot = -24.758 eV per atom
ΔH_f (0 K) = 875 meV/atom

[5]
# Ca2Y

A crystal of Ca2Y relaxed with PBEsol (meta-GGA SCAN, Alexandria via LeMat-Bulk).

Cell: 13.6763 3.6989 8.9414 Å, 90.00 106.29 90.00°
Closest atoms and distances in Å follow each position.
Space group C2/m (No. 12)
Unique sites:
Ca 0.0219 0.0000 0.3122 (multiplicity 4)  7 Ca 3.57-3.82, 5 Y 3.66-3.75
Ca 0.1429 0.5000 0.0353 (multiplicity 4)  9 Ca 3.67-3.82, 3 Y 3.69-3.98
Y 0.2017 0.5000 0.6241 (multiplicity 4)  4 Y 3.43-3.70, 7 Ca 3.66-3.75

Computed properties:
ΔE to the lowest computed polymorph = 18 meV/atom
D(E_F) = 3.31 states/eV/f.u.
calculated volume = 434 Å³/cell
E_tot = -15.626 eV per atom
ΔH_f (0 K) = 97 meV/atom

[6]
# Ca2Y

A crystal of Ca2Y relaxed with PBEsol (meta-GGA SCAN, Alexandria via LeMat-Bulk).

Cell: 3.6830 3.6830 9.2530 Å, 90.00 90.00 120.00°
Closest atoms and distances in Å follow each position.
Space group P-3m1 (No. 164)
Unique sites:
Ca 0.3333 0.6667 0.3253 (multiplicity 2)  9 Ca 3.68-3.87, 3 Y 3.68
Y 0.0000 0.0000 0.0000 (multiplicity 1)  6 Y 3.68, 6 Ca 3.68

Computed properties:
ΔE to the lowest computed polymorph = 19 meV/atom
D(E_F) = 3.84 states/eV/f.u.
calculated volume = 109 Å³/cell
E_tot = -15.625 eV per atom
ΔH_f (0 K) = 99 meV/atom

- Which formula does entry 6 have?
  Ca2Y